Record 1
A geometry-optimized NdHfO3 structure, computed with PBE.

Unit cell a=5.5289 b=5.5289 c=15.4922 alpha=90.00 beta=90.00 gamma=120.00
With the nearest neighbours (Å) after each atom.
Space group R-3 (No. 148, hexagonal axes)
One atom of each set of equivalent atoms:
Nd (0.0000, 0.0000, 0.1231)  6 O 2.48
Hf (0.0000, 0.0000, 0.3438)  6 O 2.07-2.16
O (0.0153, 0.5711, 0.9140)  2 Hf 2.07-2.16

Calculated values
Theoretical density in g/cm3: 9.01
Total energy in eV per atom: -9.07

Record 2
A geometry-optimized HgPtNO structure, computed with PBE.

Unit cell a=4.0944 b=4.0944 c=6.9591 alpha=90.00 beta=90.00 gamma=90.00
With the nearest neighbours (Å) after each atom.
Space group P4/nmm (No. 129, origin choice 2)
One atom of each set of equivalent atoms:
Hg (0.2500, 0.2500, 0.1392)  4 O 2.26
Pt (0.2500, 0.7500, 0.5000)  4 N 2.15
N (0.2500, 0.2500, 0.5961)  4 Pt 2.15
O (0.2500, 0.7500, 0.0000)  4 Hg 2.26

Calculated values
Theoretical density in g/cm3: 12.12
Total energy in eV per atom: -4.15

Record 3
A geometry-optimized ZrCu structure, computed with PBE.

Unit cell a=4.7428 b=5.8748 c=9.9452 alpha=90.00 beta=90.00 gamma=90.00
With the nearest neighbours (Å) after each atom.
Space group Pmmn (No. 59, origin choice 2)
One atom of each set of equivalent atoms:
Zr (0.2500, 0.0050, 0.0755)  7 Zr 2.81-3.14, 4 Cu 2.99-3.14
Zr (0.2500, 0.2500, 0.3515)  10 Cu 2.73-2.94
Zr (0.2500, 0.2500, 0.7816)  6 Cu 2.69-2.95
Cu (0.2500, 0.5332, 0.5689)  5 Cu 2.50-2.77, 2 Zr 2.69-2.73
Cu (0.2500, 0.7500, 0.3529)  2 Cu 2.50, 2 Zr 2.72
Cu (0.2500, 0.7500, 0.8118)  2 Cu 2.73, 10 Zr 2.87-3.02

Calculated values
Formation enthalpy at 0 K in meV/atom: -9
Theoretical density in g/cm3: 7.42

Record 4
A geometry-optimized Cs2RbNbBr6 structure, computed with PBE.

Unit cell a=11.7108 b=11.7108 c=11.7108 alpha=90.00 beta=90.00 gamma=90.00
With the nearest neighbours (Å) after each atom.
Space group Fm-3m (No. 225)
One atom of each set of equivalent atoms:
Cs (0.2500, 0.2500, 0.2500)  12 Br 4.15
Rb (0.0000, 0.0000, 0.0000)  6 Br 3.21
Nb (0.0000, 0.0000, 0.5000)  6 Br 2.64
Br (0.0000, 0.0000, 0.2742)  1 Nb 2.64

Calculated values
Theoretical density in g/cm3: 3.82
Total energy in eV per atom: -3.65

Record 5
A geometry-optimized CdTcPO structure, computed with PBE.

Unit cell a=3.8773 b=5.8625 c=5.9286 alpha=90.00 beta=90.00 gamma=90.00
With the nearest neighbours (Å) after each atom.
Space group Pmc2_1 (No. 26)
One atom of each set of equivalent atoms:
Cd (0.0000, 0.2231, 0.0000)  2 O 2.37, 2 P 2.62
Tc (0.5000, 0.2390, 0.4309)  2 O 1.99
P (0.5000, 0.4099, 0.7681)  2 Tc 2.24-2.27
O (0.0000, 0.1682, 0.3968)  2 Tc 1.99

Calculated values
Theoretical density in g/cm3: 6.34
Total energy in eV per atom: -5.68

Record 6
A geometry-optimized NdTlGa structure, computed with PBE.

Unit cell a=6.9337 b=6.9337 c=6.9337 alpha=90.00 beta=90.00 gamma=90.00
With the nearest neighbours (Å) after each atom.
Space group F-43m (No. 216)
One atom of each set of equivalent atoms:
Nd (0.0000, 0.0000, 0.0000)  4 Ga 3.00
Tl (0.0000, 0.0000, 0.5000)  4 Ga 3.00
Ga (0.2500, 0.2500, 0.2500)  4 Tl 3.00, 4 Nd 3.00

Calculated values
Theoretical density in g/cm3: 8.34
Total energy in eV per atom: -3.67

Record 7
A geometry-optimized SmDyHg structure, computed with PBE.

Unit cell a=7.2195 b=5.1091 c=9.2934 alpha=90.00 beta=90.00 gamma=90.00
With the nearest neighbours (Å) after each atom.
Space group Pnma (No. 62)
One atom of each set of equivalent atoms:
Sm (0.0151, 0.2500, 0.1913)  3 Hg 3.19-3.27, 1 Dy 3.53
Dy (0.1654, 0.2500, 0.5748)  4 Hg 3.05-3.11
Hg (0.2442, 0.2500, 0.8972)  4 Dy 3.05-3.11, 3 Sm 3.19-3.27

Calculated values
Formation enthalpy at 0 K in meV/atom: -352
Theoretical density in g/cm3: 9.95

Record 8
A geometry-optimized LaNdPb2 structure, computed with PBE.

Unit cell a=4.5492 b=4.7492 c=12.0634 alpha=90.00 beta=90.00 gamma=90.00
With the nearest neighbours (Å) after each atom.
Space group Amm2 (No. 38)
One atom of each set of equivalent atoms:
La (0.0000, 0.0000, 0.0000)  7 Pb 3.28-3.64
Nd (0.5000, 0.0000, 0.2649)  7 Pb 3.28-3.63
Pb (0.0000, 0.0000, 0.7285)  2 Pb 3.24, 1 La 3.28, 4 Nd 3.32
Pb (0.5000, 0.0000, 0.5372)  2 Pb 3.24, 1 Nd 3.28, 4 La 3.32

Calculated values
Theoretical density in g/cm3: 8.89
Total energy in eV per atom: -4.86

Please write out number 1 again, unchanged.
A geometry-optimized NdHfO3 structure, computed with PBE.

Unit cell a=5.5289 b=5.5289 c=15.4922 alpha=90.00 beta=90.00 gamma=120.00
With the nearest neighbours (Å) after each atom.
Space group R-3 (No. 148, hexagonal axes)
One atom of each set of equivalent atoms:
Nd (0.0000, 0.0000, 0.1231)  6 O 2.48
Hf (0.0000, 0.0000, 0.3438)  6 O 2.07-2.16
O (0.0153, 0.5711, 0.9140)  2 Hf 2.07-2.16

Calculated values
Theoretical density in g/cm3: 9.01
Total energy in eV per atom: -9.07

> What is the theoretical density in the fifth record?

6.34 g/cm3